<i>
AgRhSeN2: single point on PBEsol structure, meta-GGA SCAN.

Magnetic moment   0.0 μB/f.u.

a b c (Å): 3.728 3.728 5.510
angles (deg): 90.00 90.00 90.00
Space group P4/mmm (No. 123)
Asymmetric unit:
Ag (0.000, 0.000, 0.000) x1
Rh (0.500, 0.500, 0.500) x1
Se (0.500, 0.500, 0.000) x1
N (0.000, 0.500, 0.500) x2

---

<ii>
AgRhSeN2: single point on PBEsol structure, meta-GGA SCAN.

Magnetic moment   2.0 μB/f.u.

a b c (Å): 3.855 3.855 5.375
angles (deg): 90.00 90.00 90.00
Space group P4/mmm (No. 123)
Asymmetric unit:
Ag (0.000, 0.000, 0.000) x1
Rh (0.500, 0.500, 0.500) x1
Se (0.000, 0.000, 0.500) x1
N (0.000, 0.500, 0.000) x2

---

Stability verdict: <i>, ahead by 957 meV per atom